This record from Alexandria via LeMat-Bulk describes a PBEsol-optimized structure of CdAg5. The functional is meta-GGA SCAN.

```
6
Lattice="2.052 -6.172 0.000 2.052 6.172 0.000 0.000 0.000 4.019" Properties=species:S:1:pos:R:3 pbc="T T T"
Cd 0.000 0.000 0.000
Ag 2.052 4.093 2.010
Ag 2.052 2.072 0.000
Ag 2.052 0.000 2.010
Ag 2.052 -2.072 0.000
Ag 2.052 -4.093 2.010
```

DFT total energy = -187.44 eV/cell
DOS at the Fermi energy = 0.264 states/eV/atom
Symmetry = Cmmm, No. 65
Total magnetic moment = 0.00 μB per formula unit